The following is a DFT calculation (GGA-PBE) of crystalline PrTmSc4 at its relaxed geometry.

The energy above the most stable polymorph in this dataset is 0 meV per atom. The calculated total energy comes out at -5.7248 eV/atom. For the formation energy, the calculation gives 38 meV/atom. The volume comes out at 328 Å³ per cell. The calculation puts the total moment at 0.01 μB per formula unit.

The space group is Pmmn (No. 59, origin choice 2) and the conventional cell measures 5.346, 10.282 and 5.959 Å, with angles of 90.00, 90.00 and 90.00 degrees. The asymmetric unit holds Pr at (0.250, 0.250, 0.076), Tm at (0.250, 0.750, 0.576), Sc at (0.250, 0.079, 0.587) and Sc at (0.250, 0.580, 0.089).


The following is a DFT calculation (GGA-PBE) of crystalline Ac3Ce4Sn4 at its relaxed geometry.

The calculated total energy comes out at -4.9174 eV/atom. For the formation energy, the calculation gives -184 meV/atom. The volume comes out at 826 Å³ per cell. The calculation puts the total moment at 4.72 μB per formula unit.

The space group is I-43m (No. 217) and the conventional cell measures 9.383, 9.383 and 9.383 Å, with angles of 90.00, 90.00 and 90.00 degrees. The asymmetric unit holds Ac at (0.000, 0.000, 0.500), Ce at (0.123, 0.123, 0.123) and Sn at (0.195, 0.195, 0.805).